[1]
Below is a relaxed structure of KAs2W, with properties calculated at the PBE level.

Unit cell a=3.171 b=3.192 c=8.102 alpha=90.00 beta=90.00 gamma=90.00
Space group Pmmm (No. 47)
Asymmetric unit:
1 K 0.000 0.000 0.000 [1 per cell]
2 As 0.500 0.500 0.313 [2 per cell]
3 W 0.000 0.000 0.500 [1 per cell]

The value obtained for the theoretical density is 7.550 g/cm³. The value obtained for the formation energy is -0.09 eV/atom. Its excess energy over the best structure of this formula in the dataset is 0.0 kJ per mole of atoms.

=====

[2]
Below is a relaxed structure of Zr2TeIr, with properties calculated at the PBE level.

Unit cell a=4.049 b=4.049 c=9.767 alpha=90.00 beta=90.00 gamma=90.00
Space group I-4m2 (No. 119)
Asymmetric unit:
1 Zr 0.000 0.000 0.000 [2 per cell]
2 Zr 0.000 0.500 0.250 [2 per cell]
3 Te 0.000 0.000 0.500 [2 per cell]
4 Ir 0.000 0.500 0.750 [2 per cell]

The value obtained for the theoretical density is 10.416 g/cm³. The calculation puts the uncorrected formation energy at -474.8 meV per atom.

=====

[3]
Below is a relaxed structure of Rb4BO4, with properties calculated at the PBE level.

Unit cell a=8.315 b=8.315 c=5.370 alpha=90.00 beta=90.00 gamma=90.00
Space group I4/m (No. 87)
Asymmetric unit:
1 Rb 0.112 0.284 0.000 [8 per cell]
2 B 0.000 0.000 0.500 [2 per cell]
3 O 0.047 0.184 0.500 [8 per cell]

The value obtained for the theoretical density is 3.728 g/cm³. The calculation puts the uncorrected formation energy at -1129.3 meV per atom.

=====

[4]
Below is a relaxed structure of YHfCoOs, with properties calculated at the PBE level.

Unit cell a=6.593 b=6.593 c=6.593 alpha=90.00 beta=90.00 gamma=90.00
Space group F-43m (No. 216)
Asymmetric unit:
1 Y 0.000 0.000 0.000 [4 per cell]
2 Hf 0.000 0.000 0.500 [4 per cell]
3 Co 0.250 0.250 0.750 [4 per cell]
4 Os 0.250 0.250 0.250 [4 per cell]

The value obtained for the theoretical density is 11.973 g/cm³. The value obtained for the formation energy is -0.30 eV/atom.

=====

[5]
Below is a relaxed structure of BaBeTc2, with properties calculated at the PBE level.

Unit cell a=5.397 b=10.048 c=2.798 alpha=90.00 beta=90.00 gamma=90.00
Space group Cmmm (No. 65)
Asymmetric unit:
1 Ba 0.000 0.000 0.000 [2 per cell]
2 Be 0.000 0.500 0.000 [2 per cell]
3 Tc 0.250 0.250 0.500 [4 per cell]

The value obtained for the theoretical density is 7.492 g/cm³. The value obtained for the formation energy is 1.44 eV/atom.

=====

[6]
Below is a relaxed structure of Mg4In3Cu, with properties calculated at the PBE level.

Unit cell a=3.217 b=3.217 c=16.626 alpha=90.00 beta=90.00 gamma=90.00
Space group P4/mmm (No. 123)
Asymmetric unit:
1 Mg 0.000 0.000 0.094 [2 per cell]
2 Mg 0.000 0.000 0.364 [2 per cell]
3 In 0.500 0.500 0.229 [2 per cell]
4 In 0.500 0.500 0.500 [1 per cell]
5 Cu 0.500 0.500 0.000 [1 per cell]

The value obtained for the theoretical density is 4.875 g/cm³. The value obtained for the formation energy is -0.09 eV/atom.

=====

[7]
Below is a relaxed structure of BPSe2, with properties calculated at the PBE level.

Unit cell a=6.353 b=6.353 c=6.353 alpha=90.00 beta=90.00 gamma=90.00
Space group Fm-3m (No. 225)
Asymmetric unit:
1 B 0.000 0.000 0.000 [4 per cell]
2 P 0.000 0.000 0.500 [4 per cell]
3 Se 0.250 0.250 0.250 [8 per cell]

The value obtained for the theoretical density is 5.173 g/cm³. Its excess energy over the best structure of this formula in the dataset is 71.6 kJ per mole of atoms. The calculation puts the uncorrected formation energy at 1278.7 meV per atom.

=====

[8]
Below is a relaxed structure of NaHg2Br6, with properties calculated at the PBE level.

Unit cell a=8.0164 b=8.0164 c=8.2511 alpha=90.00 beta=90.00 gamma=120.00
Space group P-3m1 (No. 164)
Asymmetric unit:
1 Na 0.0000 0.0000 0.0000 [1 per cell]
2 Hg 0.3333 0.6667 0.7545 [2 per cell]
3 Br 0.1490 0.2981 0.7367 [6 per cell]

The value obtained for the theoretical density is 3.268 g/cm³. Its excess energy over the best structure of this formula in the dataset is 8.7 kJ per mole of atoms. The calculation puts the uncorrected formation energy at -476.6 meV per atom.